w.
VASP calculation (PBE) on a geometry-optimized ScTi2I structure.

Values from the calculation:
Space group: I-42d, No. 122

a b c (Å): 6.343 6.343 6.343
angles (deg): 101.21 101.21 127.68
Sites, in units of the cell vectors:
1 Sc 0.000 0.000 0.000
2 Sc 0.750 0.250 0.500
3 Ti 0.166 0.125 0.541
4 Ti 0.375 0.834 0.959
5 Ti 0.584 0.625 0.459
6 Ti 0.875 0.416 0.041
7 I 0.250 0.750 0.500
8 I 0.500 0.500 0.000



x.
VASP calculation (PBE) on a geometry-optimized ScTi2I structure.

Values from the calculation:
Space group: Fm-3m, No. 225

a b c (Å): 4.847 4.847 4.847
angles (deg): 60.00 60.00 60.00
Sites, in units of the cell vectors:
1 Sc 0.000 0.000 0.000
2 Ti 0.250 0.250 0.250
3 Ti 0.750 0.750 0.750
4 I 0.500 0.500 0.500



Energies relative to the most stable structure are w 0; x 6, reported in meV/atom.



w.
VASP calculation (PBE) on a geometry-optimized ScTlI2 structure.

Values from the calculation:
Space group: R-3m, No. 166

a b c (Å): 11.236 11.236 11.236
angles (deg): 19.93 19.93 19.93
Sites, in units of the cell vectors:
1 Sc 0.000 0.000 0.000
2 Tl 0.500 0.500 0.500
3 I 0.391 0.391 0.391
4 I 0.609 0.609 0.609



x.
VASP calculation (PBE) on a geometry-optimized ScTlI2 structure.

Values from the calculation:
Space group: Fm-3m, No. 225

a b c (Å): 5.611 5.611 5.611
angles (deg): 60.00 60.00 60.00
Sites, in units of the cell vectors:
1 Sc 0.000 0.000 0.000
2 Tl 0.500 0.500 0.500
3 I 0.250 0.250 0.250
4 I 0.750 0.750 0.750



y.
VASP calculation (PBE) on a geometry-optimized ScTlI2 structure.

Values from the calculation:
Space group: I-42d, No. 122

a b c (Å): 7.880 7.880 7.880
angles (deg): 98.95 98.95 133.54
Sites, in units of the cell vectors:
1 Sc 0.000 0.000 0.000
2 Sc 0.750 0.250 0.500
3 Tl 0.250 0.750 0.500
4 Tl 0.500 0.500 0.000
5 I 0.375 0.235 0.360
6 I 0.765 0.125 0.140
7 I 0.875 0.015 0.640
8 I 0.985 0.625 0.860



Energies relative to the most stable structure are w 0; x 379; y 158, reported in meV/atom.



w.
VASP calculation (PBE) on a geometry-optimized ScTl3I structure.

Values from the calculation:
Space group: Pm-3m, No. 221

a b c (Å): 5.871 5.871 5.871
angles (deg): 90.00 90.00 90.00
Sites, in units of the cell vectors:
1 Sc 0.000 0.000 0.000
2 Tl 0.000 0.000 0.500
3 Tl 0.000 0.500 0.000
4 Tl 0.500 0.000 0.000
5 I 0.500 0.500 0.500



x.
VASP calculation (PBE) on a geometry-optimized ScTl3I structure.

Values from the calculation:
Space group: Pm-3m, No. 221

a b c (Å): 6.244 6.244 6.244
angles (deg): 90.00 90.00 90.00
Sites, in units of the cell vectors:
1 Sc 0.000 0.000 0.000
2 Tl 0.000 0.500 0.500
3 Tl 0.500 0.000 0.500
4 Tl 0.500 0.500 0.000
5 I 0.500 0.500 0.500



Energies relative to the most stable structure are w 0; x 426, reported in meV/atom.



w.
VASP calculation (PBE) on a geometry-optimized Sc2VI structure.

Values from the calculation:
Space group: Fm-3m, No. 225

a b c (Å): 5.019 5.019 5.019
angles (deg): 60.00 60.00 60.00
Sites, in units of the cell vectors:
1 Sc 0.250 0.250 0.250
2 Sc 0.750 0.750 0.750
3 V 0.000 0.000 0.000
4 I 0.500 0.500 0.500



x.
VASP calculation (PBE) on a geometry-optimized Sc2VI structure.

Values from the calculation:
Space group: R-3m, No. 166

a b c (Å): 10.005 10.005 10.005
angles (deg): 19.61 19.61 19.61
Sites, in units of the cell vectors:
1 Sc 0.087 0.087 0.087
2 Sc 0.913 0.913 0.913
3 V 0.000 0.000 0.000
4 I 0.500 0.500 0.500



Energies relative to the most stable structure are w 0; x 157, reported in meV/atom.



w.
VASP calculation (PBE) on a geometry-optimized ScVI2 structure.

Values from the calculation:
Space group: I-42d, No. 122

a b c (Å): 9.453 9.453 9.453
angles (deg): 147.83 147.83 46.13
Sites, in units of the cell vectors:
1 Sc 0.000 0.000 0.000
2 Sc 0.750 0.250 0.500
3 V 0.250 0.750 0.500
4 V 0.500 0.500 0.000
5 I 0.133 0.625 0.008
6 I 0.375 0.383 0.508
7 I 0.617 0.125 0.992
8 I 0.875 0.867 0.492



x.
VASP calculation (PBE) on a geometry-optimized ScVI2 structure.

Values from the calculation:
Space group: Fm-3m, No. 225

a b c (Å): 5.084 5.084 5.084
angles (deg): 60.00 60.00 60.00
Sites, in units of the cell vectors:
1 Sc 0.000 0.000 0.000
2 V 0.500 0.500 0.500
3 I 0.250 0.250 0.250
4 I 0.750 0.750 0.750



Energies relative to the most stable structure are w 20; x 0, reported in meV/atom.



w.
VASP calculation (PBE) on a geometry-optimized ScV3I structure.

Values from the calculation:
Space group: Pm-3m, No. 221

a b c (Å): 4.668 4.668 4.668
angles (deg): 90.00 90.00 90.00
Sites, in units of the cell vectors:
1 Sc 0.000 0.000 0.000
2 V 0.000 0.000 0.500
3 V 0.000 0.500 0.000
4 V 0.500 0.000 0.000
5 I 0.500 0.500 0.500



x.
VASP calculation (PBE) on a geometry-optimized ScV3I structure.

Values from the calculation:
Space group: Pm-3m, No. 221

a b c (Å): 4.775 4.775 4.775
angles (deg): 90.00 90.00 90.00
Sites, in units of the cell vectors:
1 Sc 0.000 0.000 0.000
2 V 0.000 0.500 0.500
3 V 0.500 0.000 0.500
4 V 0.500 0.500 0.000
5 I 0.500 0.500 0.500



Energies relative to the most stable structure are w 488; x 0, reported in meV/atom.